This record from the Alexandria database describes an optimized crystal structure of FeAs2Os. The functional is PBE-GGA.

**DFT formation energy**: 0.184 eV per atom
**E**: -28.26 eV per cell
**Energy relative to the lowest polymorph listed for this composition**: 7.1 kJ per mole of atoms
**Magnetic moment**: 1.445 μB per formula unit

abc: 2.9593 3.7530 5.2556
angles: 90.00 90.00 90.00
Positions (direct):
Fe: 0.0000 0.0000 0.0000
As: 0.0000 0.0000 0.5053
As: 0.5000 0.5000 0.8688
Os: 0.5000 0.5000 0.3376